Record 1
DFT (GGA-PBE) results for a relaxed structure of CuHgAu4.

- Energy of formation from the pure elements: 1.1 eV/f.u.
- SG: F-43m

abc: 5.5212 5.5212 5.5212
angles: 60.00 60.00 60.00
Fractional coordinates of all 6 atoms:
Cu 0.0000 0.0000 0.0000
Hg 0.7500 0.7500 0.7500
Au 0.3748 0.3748 0.3748
Au 0.3748 0.3748 0.8755
Au 0.3748 0.8755 0.3748
Au 0.8755 0.3748 0.3748

=====

Record 2
DFT (GGA-PBE) results for a relaxed structure of DyErP.

- Energy above the most stable polymorph in this dataset: 1.34 eV/f.u.
- Energy of formation from the pure elements: -1.6 eV/f.u.
- SG: Imm2

abc: 12.2853 12.2853 12.2853
angles: 162.34 161.95 25.35
Fractional coordinates of all 6 atoms:
Dy 0.0000 0.0000 0.0000
Dy 0.2442 0.2442 0.0000
Er 0.6266 0.1266 0.5000
Er 0.8434 0.8434 0.0000
P 0.4228 0.9228 0.5000
P 0.7123 0.7123 0.0000

=====

Record 3
DFT (GGA-PBE) results for a relaxed structure of CuAgOs2.

- Energy above the most stable polymorph in this dataset: 2.79 eV/f.u.
- Energy of formation from the pure elements: 4.0 eV/f.u.
- SG: Fm-3m

abc: 4.3404 4.3404 4.3404
angles: 60.00 60.00 60.00
Fractional coordinates of all 4 atoms:
Cu 0.0000 0.0000 0.0000
Ag 0.5000 0.5000 0.5000
Os 0.2500 0.2500 0.2500
Os 0.7500 0.7500 0.7500

=====

Record 4
DFT (GGA-PBE) results for a relaxed structure of Sc3CdFe.

- Energy above the most stable polymorph in this dataset: 0.00 eV/f.u.
- Energy of formation from the pure elements: -0.1 eV/f.u.
- SG: Pm-3m

abc: 4.8305 4.8305 4.8305
angles: 90.00 90.00 90.00
Fractional coordinates of all 5 atoms:
Sc 0.0000 0.0000 0.5000
Sc 0.0000 0.5000 0.0000
Sc 0.5000 0.0000 0.0000
Cd 0.5000 0.5000 0.5000
Fe 0.0000 0.0000 0.0000

=====

Record 5
DFT (GGA-PBE) results for a relaxed structure of CaEr3Co.

- Energy of formation from the pure elements: -0.3 eV/f.u.
- SG: Pm-3m

abc: 5.2760 5.2760 5.2760
angles: 90.00 90.00 90.00
Fractional coordinates of all 5 atoms:
Ca 0.0000 0.0000 0.0000
Er 0.0000 0.5000 0.5000
Er 0.5000 0.0000 0.5000
Er 0.5000 0.5000 0.0000
Co 0.5000 0.5000 0.5000

=====

Record 6
DFT (GGA-PBE) results for a relaxed structure of Tm8Zn2Co.

- Energy above the most stable polymorph in this dataset: 0.39 eV/f.u.
- Energy of formation from the pure elements: -1.3 eV/f.u.
- SG: Cm

abc: 8.5444 8.5444 5.9511
angles: 103.54 103.54 128.97
Fractional coordinates of all 11 atoms:
Tm 0.0000 0.0000 0.0000
Tm 0.0771 0.4692 0.2065
Tm 0.1201 0.8962 0.5165
Tm 0.4310 0.6588 0.8688
Tm 0.4692 0.0771 0.2065
Tm 0.5475 0.5475 0.3624
Tm 0.6588 0.4310 0.8688
Tm 0.8962 0.1201 0.5165
Zn 0.5585 0.9967 0.6976
Zn 0.9967 0.5585 0.6976
Co 0.2802 0.2802 0.5017

=====

Record 7
DFT (GGA-PBE) results for a relaxed structure of Pm3Sb2H2.

- E: -4.9573 eV/atom
- SG: P2_1/c

abc: 6.5287 7.4347 8.3306
angles: 90.00 121.97 90.00
Fractional coordinates of all 14 atoms:
Pm 0.0000 0.0000 0.0000
Pm 0.0000 0.5000 0.5000
Pm 0.3504 0.0608 0.6998
Pm 0.3504 0.4392 0.1998
Pm 0.6496 0.5608 0.8002
Pm 0.6496 0.9392 0.3002
Sb 0.2355 0.7187 0.8800
Sb 0.2355 0.7813 0.3800
Sb 0.7645 0.2187 0.6200
Sb 0.7645 0.2813 0.1200
H 0.3524 0.1397 0.1693
H 0.3524 0.3603 0.6693
H 0.6476 0.6397 0.3307
H 0.6476 0.8603 0.8307

=====

Record 8
DFT (GGA-PBE) results for a relaxed structure of Cs3Cd4Au.

- Energy of formation from the pure elements: -0.8 eV/f.u.
- SG: Imm2

abc: 7.8712 7.8712 7.8712
angles: 130.20 120.37 81.31
Fractional coordinates of all 8 atoms:
Cs 0.0000 0.0000 0.0000
Cs 0.1050 0.3490 0.7560
Cs 0.5930 0.3490 0.2440
Cd 0.3675 0.6772 0.6903
Cd 0.5960 0.3354 0.7394
Cd 0.5960 0.8566 0.2606
Cd 0.9869 0.6772 0.3097
Au 0.3888 0.8888 0.5000

=====

In the order shown, the computed N(E_F) values come out to 1.407, 6.525, 3.455, 3.375, 5.429, 11.776, 5.427, 3.598 states/eV per cell.